Compound: La2ZrUN5
Source: Alexandria
Functional: PBE-GGA
Structure: relaxed

Calculated values
* symmetry: No. 123
* density of states at the Fermi level: 4.127 states/eV/cell
* total DFT energy (no corrections): -81.9 eV/cell
* volume: 16.6 Å³ per atom
* formation energy (no corrections): -1.171 eV/atom

Lattice parameters (Å, degrees): 4.0836 4.0836 8.9441 90.00 90.00 90.00
Atoms (fractional coordinates):
La1 0.0000 0.0000 0.2378
La2 0.0000 0.0000 0.7622
Zr1 0.5000 0.5000 0.5000
U1 0.5000 0.5000 0.0000
N1 0.0000 0.0000 0.5000
N2 0.0000 0.5000 0.0000
N3 0.5000 0.0000 0.0000
N4 0.5000 0.5000 0.2641
N5 0.5000 0.5000 0.7359